VASP calculation (PBE) on a geometry-optimized LaY3Sc4O12 structure.

- spin magnetization (μB/cell) = 0.00
- formation energy from raw total energies (eV per atom) = -3.5192

Cell and atoms, written as CIF:
```
data_LaY3Sc4O12
_space_group_name_H-M_alt 'P 1 m 1'
_space_group_IT_number 6
_cell_length_a 5.527
_cell_length_b 8.032
_cell_length_c 5.783
_cell_angle_alpha 90.00
_cell_angle_beta 90.03
_cell_angle_gamma 90.00
loop_
_space_group_symop_operation_xyz
'x,y,z'
'x,-y,z'
loop_
_atom_site_label
_atom_site_type_symbol
_atom_site_fract_x
_atom_site_fract_y
_atom_site_fract_z
_atom_site_occupancy
La1 La 0.000 0.000 0.000 1
Y1 Y 0.467 0.000 0.509 1
Y2 Y 0.506 0.500 0.390 1
Y3 Y 0.967 0.500 0.884 1
Sc1 Sc 0.485 0.255 0.948 1
Sc2 Sc 0.990 0.254 0.446 1
O1 O 0.118 0.500 0.503 1
O2 O 0.187 0.192 0.746 1
O3 O 0.302 0.188 0.259 1
O4 O 0.356 0.500 0.008 1
O5 O 0.589 0.000 0.894 1
O6 O 0.687 0.321 0.647 1
O7 O 0.796 0.318 0.142 1
O8 O 0.860 0.000 0.411 1
```